[1]
PaTe2Rh | PBE-GGA | optimized geometry

Calculated density, g/cm3: 11.01
Symmetry: No. 123
Energy relative to the elements, uncorrected, eV/atom: -0.516
Crystal system: tetragonal
Electronic total energy, eV per atom: -6.299
Density of states at the Fermi level, states/eV per atom: 0.854
Spin magnetization, μB per cell: 0.00
Excess energy over the best structure of this formula in the dataset, kcal/mol of atoms: 6.69

Cell: 3.9424 4.7476 4.7476 Å, 90.00 90.00 90.00°
Closest atoms and distances in Å follow each position.
Atoms (fractional coordinates):
Te 0.0000 0.5000 0.0000  4 Rh 3.09, 4 Pa 3.09, 4 Te 3.36
Te 0.0000 0.0000 0.5000  4 Pa 3.09, 4 Rh 3.09, 4 Te 3.36
Rh 0.5000 0.0000 0.0000  8 Te 3.09, 4 Pa 3.36
Pa 0.5000 0.5000 0.5000  8 Te 3.09, 4 Rh 3.36

[2]
Mg2TlCd5 | PBE-GGA | optimized geometry

Calculated density, g/cm3: 7.39
Symmetry: No. 55
Crystal system: orthorhombic
Electronic total energy, eV per atom: -1.301
Density of states at the Fermi level, states/eV per atom: 0.341
Spin magnetization, μB per cell: 0.00
Formation energy, meV per atom: -35

Cell: 4.4894 6.4046 12.7475 Å, 90.00 90.00 90.00°
Closest atoms and distances in Å follow each position.
Atoms (fractional coordinates):
Tl 0.0000 0.0000 0.5000  4 Mg 3.17, 8 Cd 3.20-3.26
Mg 0.5000 0.2426 0.6262  10 Cd 3.11-3.27, 2 Tl 3.17
Cd 0.5000 0.2355 0.8699  6 Cd 3.10-3.20, 4 Mg 3.11-3.27, 2 Tl 3.26
Cd 0.0000 0.0091 0.2444  7 Cd 3.10-3.21, 4 Mg 3.14-3.22, 1 Tl 3.26
Cd 0.0000 0.5091 0.2556  7 Cd 3.10-3.21, 4 Mg 3.14-3.22, 1 Tl 3.26
Mg 0.5000 0.7574 0.3738  10 Cd 3.11-3.27, 2 Tl 3.17
Cd 0.0000 0.4909 0.7444  7 Cd 3.10-3.21, 4 Mg 3.14-3.22, 1 Tl 3.26
Mg 0.5000 0.2574 0.1262  10 Cd 3.11-3.27, 2 Tl 3.17
Cd 0.5000 0.7645 0.1301  6 Cd 3.10-3.20, 4 Mg 3.11-3.27, 2 Tl 3.26
Cd 0.0000 0.5000 0.5000  6 Cd 3.12-3.17, 2 Tl 3.20, 4 Mg 3.22
Cd 0.0000 0.9909 0.7556  7 Cd 3.10-3.21, 4 Mg 3.14-3.22, 1 Tl 3.26
Mg 0.5000 0.7426 0.8738  10 Cd 3.11-3.27, 2 Tl 3.17
Tl 0.0000 0.5000 0.0000  4 Mg 3.17, 8 Cd 3.20-3.26
Cd 0.0000 0.0000 0.0000  6 Cd 3.12-3.17, 2 Tl 3.20, 4 Mg 3.22
Cd 0.5000 0.7355 0.6301  6 Cd 3.10-3.20, 4 Mg 3.11-3.27, 2 Tl 3.26
Cd 0.5000 0.2645 0.3699  6 Cd 3.10-3.20, 4 Mg 3.11-3.27, 2 Tl 3.26

[3]
Sm2Co3B4 | PBE-GGA | optimized geometry

Calculated density, g/cm3: 7.00
Symmetry: No. 69
Crystal system: orthorhombic
Electronic total energy, eV per atom: -6.404
Density of states at the Fermi level, states/eV per atom: 0.654
Spin magnetization, μB per cell: 0.00
Formation energy, meV per atom: -19

Cell: 4.8477 4.8477 6.4804 Å, 101.25 101.25 118.60°
Closest atoms and distances in Å follow each position.
Atoms (fractional coordinates):
B 0.0487 0.7156 0.7643  3 Co 1.98-2.00
Co 0.0000 0.5000 0.0000  4 B 2.00
Co 0.0000 0.0000 0.0000  4 B 1.98
Sm 0.6509 0.6509 0.3019  8 B 2.81-3.10, 6 Co 3.02-3.07
B 0.9513 0.2844 0.2357  3 Co 1.98-2.00
Sm 0.3491 0.3491 0.6981  8 B 2.81-3.10, 6 Co 3.02-3.07
B 0.7156 0.0487 0.7643  3 Co 1.98-2.00
Co 0.5000 0.0000 0.0000  4 B 2.00
B 0.2844 0.9513 0.2357  3 Co 1.98-2.00

[4]
PmU2MoC4 | PBE-GGA | optimized geometry

Calculated density, g/cm3: 10.34
Symmetry: No. 63
Crystal system: orthorhombic
Electronic total energy, eV per atom: -9.383
Density of states at the Fermi level, states/eV per atom: 1.054
Spin magnetization, μB per cell: 1.47
Formation energy, meV per atom: -2

Cell: 3.6520 6.1448 11.4684 Å, 90.00 90.00 107.29°
Closest atoms and distances in Å follow each position.
Atoms (fractional coordinates):
Pm 0.1257 0.2515 0.7500  6 C 2.77-2.78, 1 Mo 3.08
C 0.7451 0.4902 0.8838  1 Mo 2.07, 1 U 2.30
C 0.0000 0.0000 0.0000  4 U 2.41
Mo 0.1368 0.2736 0.2500  4 C 2.07
U 0.3733 0.7466 0.9561  6 C 2.30-2.52
C 0.7451 0.4902 0.6162  1 Mo 2.07, 1 U 2.30
U 0.6267 0.2534 0.4561  6 C 2.30-2.52
C 0.4468 0.8937 0.7500  2 Mo 2.07
C 0.2549 0.5098 0.3838  1 Mo 2.07, 1 U 2.30
U 0.3733 0.7466 0.5439  6 C 2.30-2.52
C 0.0000 0.0000 0.5000  4 U 2.41
Pm 0.8743 0.7485 0.2500  6 C 2.77-2.78, 1 Mo 3.08
U 0.6267 0.2534 0.0439  6 C 2.30-2.52
Mo 0.8632 0.7264 0.7500  4 C 2.07
C 0.2549 0.5098 0.1162  1 Mo 2.07, 1 U 2.30
C 0.5532 0.1063 0.2500  2 Mo 2.07

[5]
CuPSeBr2 | PBE-GGA | optimized geometry

Calculated density, g/cm3: 4.36
Symmetry: No. 123
Energy relative to the elements, uncorrected, eV/atom: 0.509
Crystal system: tetragonal
Electronic total energy, eV per atom: -2.758
Density of states at the Fermi level, states/eV per atom: 0.332
Spin magnetization, μB per cell: 0.00
Excess energy over the best structure of this formula in the dataset, kcal/mol of atoms: 0.00

Cell: 5.1410 5.1410 4.8023 Å, 90.00 90.00 90.00°
Closest atoms and distances in Å follow each position.
Atoms (fractional coordinates):
Br 0.0000 0.5000 0.0000  2 P 2.57
Br 0.5000 0.0000 0.0000  2 P 2.57
Se 0.0000 0.0000 0.5000  2 P 2.40
P 0.0000 0.0000 0.0000  2 Se 2.40, 4 Br 2.57
Cu 0.5000 0.5000 0.5000  8 Br 3.52, 4 Se 3.64

[6]
FeTc2Br | PBE-GGA | optimized geometry

Calculated density, g/cm3: 9.15
Symmetry: No. 216
Energy relative to the elements, uncorrected, eV/atom: 0.966
Crystal system: cubic
Electronic total energy, eV per atom: -6.751
Density of states at the Fermi level, states/eV per atom: 1.146
Spin magnetization, μB per cell: 2.26
Excess energy over the best structure of this formula in the dataset, kcal/mol of atoms: 12.43

Cell: 4.3996 4.3996 4.3996 Å, 60.00 60.00 60.00°
Closest atoms and distances in Å follow each position.
Atoms (fractional coordinates):
Tc 0.0000 0.0000 0.0000  4 Fe 2.69, 4 Tc 2.69
Fe 0.7500 0.7500 0.7500  4 Br 2.69, 4 Tc 2.69
Tc 0.2500 0.2500 0.2500  4 Br 2.69, 4 Tc 2.69
Br 0.5000 0.5000 0.5000  4 Fe 2.69, 4 Tc 2.69

[7]
Pr3NdHg3 | PBE-GGA | optimized geometry

Calculated density, g/cm3: 8.86
Symmetry: No. 65
Crystal system: orthorhombic
Electronic total energy, eV per atom: -3.175
Density of states at the Fermi level, states/eV per atom: 1.249
Spin magnetization, μB per cell: 3.03
Formation energy, meV per atom: -316

Cell: 7.6827 7.6827 7.4246 Å, 90.00 90.00 89.56°
Closest atoms and distances in Å follow each position.
Atoms (fractional coordinates):
Pr 0.7454 0.7454 0.5001  6 Hg 3.29-3.35
Pr 0.2589 0.7411 0.0000  6 Hg 3.29-3.35
Hg 0.0000 0.5000 0.2484  2 Nd 3.27, 6 Pr 3.29-3.31
Pr 0.7411 0.2589 0.0000  6 Hg 3.29-3.35
Hg 0.0000 0.5000 0.7516  2 Nd 3.27, 6 Pr 3.29-3.31
Hg 0.0001 0.0001 0.7527  2 Nd 3.31, 6 Pr 3.35, 1 Hg 3.67
Pr 0.2561 0.7439 0.5000  6 Hg 3.31-3.35
Nd 0.7471 0.7471 0.0001  6 Hg 3.27-3.31
Pr 0.7439 0.2561 0.5000  6 Hg 3.31-3.35
Nd 0.2529 0.2529 0.9999  6 Hg 3.27-3.31
Hg 0.5000 0.0000 0.2484  2 Nd 3.27, 6 Pr 3.29-3.31
Hg 0.9999 0.9999 0.2473  2 Nd 3.31, 6 Pr 3.35, 1 Hg 3.67
Hg 0.5000 0.0000 0.7516  2 Nd 3.27, 6 Pr 3.29-3.31
Pr 0.2546 0.2546 0.4999  6 Hg 3.29-3.35

[8]
MnCuHPd2 | PBE-GGA | optimized geometry

Calculated density, g/cm3: 9.10
Symmetry: No. 123
Crystal system: tetragonal
Electronic total energy, eV per atom: -5.543
Density of states at the Fermi level, states/eV per atom: 0.190
Spin magnetization, μB per cell: 4.92
Excess energy over the best structure of this formula in the dataset, kcal/mol of atoms: 0.00

Cell: 4.0346 4.0346 3.7236 Å, 90.00 90.00 90.00°
Closest atoms and distances in Å follow each position.
Atoms (fractional coordinates):
Pd 0.0000 0.5000 0.0000  2 H 2.02
Mn 0.5000 0.5000 0.5000  8 Pd 2.75, 4 Cu 2.85
H 0.0000 0.0000 0.0000  2 Cu 1.86, 4 Pd 2.02
Cu 0.0000 0.0000 0.5000  2 H 1.86
Pd 0.5000 0.0000 0.0000  2 H 2.02